No. 1
A relaxed structure of NaSmCdHg. Source: Alexandria, functional PBE.

a b c (Å): 5.259 5.259 5.259
angles (deg): 60.00 60.00 60.00
Sites, in units of the cell vectors:
Na  0.000  0.000  0.000
Sm  0.500  0.500  0.500
Cd  0.250  0.250  0.250
Hg  0.750  0.750  0.750

Summary:
symmetry: F-43m
final energy: -2.081 eV/atom
energy relative to the elements: -0.27 eV/atom
volume: 102.8 Å³/cell

=====

No. 2
A relaxed structure of NaCdSnHg. Source: Alexandria, functional PBE.

a b c (Å): 5.191 5.191 7.721
angles (deg): 122.94 122.94 36.97
Sites, in units of the cell vectors:
Na  0.000  0.000  0.000
Cd  0.240  0.240  0.522
Sn  0.396  0.396  0.278
Hg  0.630  0.630  0.785

Summary:
symmetry: Cm
final energy: -1.703 eV/atom
energy relative to the elements: -0.07 eV/atom
volume: 102.5 Å³/cell

=====

No. 3
A relaxed structure of NaCdSnHg. Source: Alexandria, functional PBE.

a b c (Å): 5.214 5.214 5.214
angles (deg): 60.00 60.00 60.00
Sites, in units of the cell vectors:
Na  0.000  0.000  0.000
Cd  0.250  0.250  0.250
Sn  0.500  0.500  0.500
Hg  0.750  0.750  0.750

Summary:
symmetry: F-43m
final energy: -1.738 eV/atom
energy relative to the elements: -0.10 eV/atom
volume: 100.2 Å³/cell

=====

No. 4
A relaxed structure of NaCd2SnHg5. Source: Alexandria, functional PBE.

a b c (Å): 8.753 8.753 15.232
angles (deg): 90.00 90.00 156.64
Sites, in units of the cell vectors:
Na  0.037  0.963  0.500
Na  0.963  0.037  0.000
Cd  0.362  0.638  0.488
Cd  0.423  0.577  0.810
Cd  0.577  0.423  0.310
Cd  0.638  0.362  0.988
Sn  0.285  0.715  0.077
Sn  0.715  0.285  0.577
Hg  0.080  0.920  0.840
Hg  0.107  0.893  0.148
Hg  0.200  0.800  0.402
Hg  0.238  0.762  0.746
Hg  0.443  0.557  0.168
Hg  0.557  0.443  0.668
Hg  0.762  0.238  0.246
Hg  0.800  0.200  0.902
Hg  0.893  0.107  0.648
Hg  0.920  0.080  0.340

Summary:
symmetry: Cmc2_1
final energy: -0.993 eV/atom
energy relative to the elements: -0.03 eV/atom
volume: 462.8 Å³/cell